(1)
# KInBr3

Crystalline KInBr3 at its relaxed geometry (GGA-PBEsol, the Alexandria database).

Summary:
Raw formation energy (meV per atom): -1167.2

Cell: 8.4556 8.4556 10.7737 Å, 90.00 90.00 120.00°
Last column: nearest neighbours and their distance in Å.
Sites, in units of the cell vectors:
Br (0.9173, 0.6079, 0.3760)  1 In 2.62
Br (0.2832, 0.9026, 0.1202)  1 In 2.60
Br (0.6193, 0.7168, 0.1202)  1 In 2.60
Br (0.7168, 0.0974, 0.8798)  1 In 2.60
Br (0.0974, 0.3807, 0.1202)  1 In 2.60
Br (0.9026, 0.6193, 0.8798)  1 In 2.60
Br (0.3095, 0.9173, 0.6240)  1 In 2.62
Br (0.3807, 0.2832, 0.8798)  1 In 2.60
Br (0.3921, 0.3095, 0.3760)  1 In 2.62
Br (0.0827, 0.3921, 0.6240)  1 In 2.62
Br (0.6079, 0.6905, 0.6240)  1 In 2.62
Br (0.6905, 0.0827, 0.3760)  1 In 2.62
In (0.6667, 0.3333, 0.5032)  3 Br 2.62, 1 In 2.73
In (0.3333, 0.6667, 0.2438)  3 Br 2.60, 1 In 2.73
In (0.3333, 0.6667, 0.4968)  3 Br 2.62, 1 In 2.73
In (0.6667, 0.3333, 0.7562)  3 Br 2.60, 1 In 2.73
K (0.3333, 0.6667, 0.8711)  9 Br 3.46-3.49
K (0.6667, 0.3333, 0.1289)  9 Br 3.46-3.49
K (0.0000, 0.0000, 0.7348)  6 Br 3.25-3.29
K (0.0000, 0.0000, 0.2652)  6 Br 3.25-3.29


(2)
# Ga2CuBrF

Crystalline Ga2CuBrF at its relaxed geometry (GGA-PBEsol, the Alexandria database).

Summary:
Raw formation energy (meV per atom): -111.0

Cell: 4.3241 4.3241 5.5778 Å, 90.00 90.00 90.00°
Last column: nearest neighbours and their distance in Å.
Sites, in units of the cell vectors:
Ga (0.5000, 0.0000, 0.0000)  2 F 2.16
Ga (0.0000, 0.5000, 0.0000)  2 F 2.16
Cu (0.5000, 0.5000, 0.5000)  4 Br 3.06
Br (0.0000, 0.0000, 0.5000)  2 F 2.79, 4 Cu 3.06
F (0.0000, 0.0000, 0.0000)  4 Ga 2.16


(3)
# HfZnPd

Crystalline HfZnPd at its relaxed geometry (GGA-PBEsol, the Alexandria database).

Summary:
DFT formation energy (meV per atom): -583

Cell: 4.2891 4.9263 5.1970 Å, 90.00 90.00 115.81°
Last column: nearest neighbours and their distance in Å.
Sites, in units of the cell vectors:
Zn (0.5000, 0.0000, 0.5000)  2 Zn 2.60, 4 Pd 2.68
Zn (0.5000, 0.0000, 0.0000)  2 Zn 2.60, 4 Pd 2.68
Pd (0.1074, 0.2149, 0.2500)  4 Zn 2.68, 5 Hf 2.73-2.74
Pd (0.8926, 0.7851, 0.7500)  4 Zn 2.68, 5 Hf 2.73-2.74
Hf (0.2014, 0.4029, 0.7500)  5 Pd 2.73-2.74, 2 Zn 2.95
Hf (0.7986, 0.5971, 0.2500)  5 Pd 2.73-2.74, 2 Zn 2.95


no.,final energy (eV per atom),density of states at the Fermi level (states/eV per atom)
1,-3.112,0.000
2,-3.073,0.181
3,-6.598,0.481